Compound: GdZrGa2
Source: Alexandria via LeMat-Bulk
Functional: PBE
Structure: relaxed

SG: Fm-3m
E_form in eV per atom: -0.434
Total magnetic moment in μB/f.u.: 7.1
Density of states at the Fermi level in states/eV/cell: 3.93
Energy above the most stable polymorph in this dataset in eV per atom: 0.082
Volume in Å³/atom: 21.16
Final energy in eV/atom: -7.6051

Unit cell a=4.9285 b=4.9285 c=4.9285 alpha=60.00 beta=60.00 gamma=60.00
Last column: nearest neighbours and their distance in Å.
Positions (direct):
Zr 0.5000 0.5000 0.5000  8 Ga 3.02
Ga 0.2500 0.2500 0.2500  4 Zr 3.02, 4 Gd 3.02
Ga 0.7500 0.7500 0.7500  4 Zr 3.02, 4 Gd 3.02
Gd 0.0000 0.0000 0.0000  8 Ga 3.02